1.
A relaxed Sm2Y2CBr4Cl crystal, computed with PBE.

Lattice parameters (Å, degrees): 9.213 9.213 8.043 102.50 102.50 24.12
Positions (direct):
Sm  0.999  0.999  0.212
Y  0.363  0.363  0.926
C  0.500  0.500  0.000
Br  0.828  0.828  0.168
Br  0.835  0.835  0.656
Y  0.637  0.637  0.074
Sm  0.001  0.001  0.788
Br  0.165  0.165  0.344
Cl  0.500  0.500  0.500
Br  0.172  0.172  0.832

Summary:
- energy above the lowest structure with this stoichiometry (eV per formula unit) = 0.00

2.
A relaxed UAlTe crystal, computed with PBE.

Lattice parameters (Å, degrees): 4.931 4.931 4.931 60.00 60.00 60.00
Positions (direct):
U  0.750  0.750  0.750
Te  0.000  0.000  0.000
Al  0.250  0.250  0.250

Summary:
- energy above the lowest structure with this stoichiometry (eV per formula unit) = 0.24

3.
A relaxed SnPd2Pt crystal, computed with PBE.

Lattice parameters (Å, degrees): 4.031 4.031 4.058 90.00 90.00 90.00
Positions (direct):
Sn  0.500  0.500  0.500
Pd  0.500  0.000  0.000
Pd  0.000  0.500  0.000
Pt  0.000  0.000  0.500

Summary:
- uncorrected energy (eV per atom) = -5.591

4.
A relaxed Zn3SiBi crystal, computed with PBE.

Lattice parameters (Å, degrees): 5.293 5.293 5.293 90.00 90.00 90.00
Positions (direct):
Si  0.500  0.500  0.500
Zn  0.500  0.000  0.000
Bi  0.000  0.000  0.000
Zn  0.000  0.000  0.500
Zn  0.000  0.500  0.000

Summary:
- uncorrected energy (eV per atom) = -1.606

> What is the formula in the first record?

Sm2Y2CBr4Cl